1.
Pu3SnPd PBE optimized geometry; SG = P2_1/m (11); Fermi-level density of states = 76.6 states/eV per cell; ΔH_f (0 K) = -0.256 eV/atom
1.0
-0.080 4.867 0.203
-8.512 -0.280 3.383
5.794 -0.287 9.154
Pu Sn Pd
12 4 4
Direct
0.250 0.887 0.936 Pu
0.750 0.917 0.445 Pu
0.250 0.701 0.348 Pu
0.250 0.583 0.055 Pu
0.250 0.201 0.848 Pu
0.750 0.299 0.652 Pu
0.750 0.613 0.564 Pu
0.750 0.417 0.945 Pu
0.250 0.083 0.555 Pu
0.250 0.387 0.436 Pu
0.750 0.113 0.064 Pu
0.750 0.799 0.152 Pu
0.250 0.033 0.252 Sn
0.750 0.967 0.748 Sn
0.750 0.467 0.248 Sn
0.250 0.533 0.752 Sn
0.250 0.797 0.629 Pd
0.750 0.703 0.871 Pd
0.250 0.297 0.129 Pd
0.750 0.203 0.371 Pd

2.
AgSn2GeTe4 PBE optimized geometry; SG = P2/m (10); Fermi-level density of states = 2.5 states/eV per cell; raw formation energy = -0.1694 eV per atom
1.0
-2.483 -2.222 -2.774
5.844 -4.483 -1.640
-3.856 -2.889 5.765
Sn Te Ge Ag
2 4 1 1
Direct
0.000 0.500 0.500 Sn
0.500 0.000 0.500 Sn
0.000 0.743 0.234 Te
0.500 0.246 0.235 Te
0.500 0.754 0.765 Te
0.000 0.257 0.766 Te
0.500 0.500 0.000 Ge
0.000 0.000 0.000 Ag

| no. | total magnetization (Bohr magnetons per cell) | ρ (Mg/m³) | energy (eV for the cell shown) |
| --- | --- | --- | --- |
| 1 | 71.338 | 13.37 | -213.9 |
| 2 | 0.000 | 6.66 | -29.4 |